Material: PmHo3Au2
Method: DFT, PBE
State: relaxed

a = 8.460 Å, b = 8.460 Å, c = 8.507 Å
α = 112.48°, β = 112.48°, γ = 35.70°
Element x y z (fractional)
Pm: 0.136 0.136 0.205
Pm: 0.864 0.864 0.795
Ho: 0.064 0.064 0.735
Ho: 0.307 0.307 0.004
Ho: 0.374 0.374 0.491
Ho: 0.626 0.626 0.509
Ho: 0.693 0.693 0.996
Ho: 0.936 0.936 0.265
Au: 0.217 0.217 0.628
Au: 0.499 0.499 0.164
Au: 0.501 0.501 0.836
Au: 0.783 0.783 0.372

Summary:
Energy relative to the elements (eV per atom): -0.50
Symmetry: C2/m (12)
Magnetization (μB per atom): 0.0000
Distance to the lowest polymorph of the same formula (eV per atom): 0.1269
Calculated total energy (eV/cell): -56.1

---

Material: PmHoAu
Method: DFT, PBE
State: relaxed

a = 4.919 Å, b = 4.919 Å, c = 3.939 Å
α = 90.00°, β = 90.00°, γ = 120.00°
Element x y z (fractional)
Pm: 0.000 0.000 0.000
Ho: 0.667 0.333 0.472
Au: 0.333 0.667 0.671

Summary:
Energy relative to the elements (eV per atom): -0.40
Symmetry: P3m1 (156)
Magnetization (μB per atom): 0.0000
Distance to the lowest polymorph of the same formula (eV per atom): 0.1846
Calculated total energy (eV/cell): -13.8

---

Material: Pm3HoAu2
Method: DFT, PBE
State: relaxed

a = 5.082 Å, b = 9.216 Å, c = 7.165 Å
α = 90.00°, β = 90.00°, γ = 90.00°
Element x y z (fractional)
Pm: 0.000 0.075 0.000
Pm: 0.000 0.336 0.356
Pm: 0.000 0.664 0.856
Pm: 0.000 0.925 0.500
Pm: 0.500 0.166 0.660
Pm: 0.500 0.834 0.160
Ho: 0.500 0.427 0.016
Ho: 0.500 0.573 0.516
Au: 0.000 0.350 0.773
Au: 0.000 0.650 0.273
Au: 0.500 0.158 0.243
Au: 0.500 0.842 0.743

Summary:
Energy relative to the elements (eV per atom): -0.57
Symmetry: Pmc2_1 (26)
Magnetization (μB per atom): 0.0000
Distance to the lowest polymorph of the same formula (eV per atom): 0.0000
Calculated total energy (eV/cell): -57.7

---

Material: PmHoAu5
Method: DFT, PBE
State: relaxed

a = 5.327 Å, b = 5.327 Å, c = 11.466 Å
α = 100.34°, β = 100.34°, γ = 102.35°
Element x y z (fractional)
Pm: 0.000 0.500 0.000
Pm: 0.500 0.000 0.500
Ho: 0.192 0.808 0.750
Ho: 0.808 0.192 0.250
Au: 0.072 0.285 0.538
Au: 0.171 0.829 0.250
Au: 0.285 0.072 0.038
Au: 0.386 0.405 0.346
Au: 0.405 0.386 0.846
Au: 0.595 0.614 0.154
Au: 0.614 0.595 0.654
Au: 0.715 0.928 0.962
Au: 0.829 0.171 0.750
Au: 0.928 0.715 0.462

Summary:
Energy relative to the elements (eV per atom): -0.64
Symmetry: C2/c (15)
Magnetization (μB per atom): 0.0000
Calculated total energy (eV/cell): -60.3

---

Material: PmHo2Au6
Method: DFT, PBE
State: relaxed

a = 8.869 Å, b = 8.869 Å, c = 5.299 Å
α = 99.14°, β = 99.14°, γ = 76.77°
Element x y z (fractional)
Pm: 0.126 0.874 0.750
Pm: 0.874 0.126 0.250
Ho: 0.209 0.457 0.914
Ho: 0.457 0.209 0.414
Ho: 0.543 0.791 0.586
Ho: 0.791 0.543 0.086
Au: 0.017 0.757 0.187
Au: 0.102 0.354 0.354
Au: 0.243 0.983 0.313
Au: 0.323 0.564 0.476
Au: 0.354 0.102 0.854
Au: 0.436 0.677 0.024
Au: 0.564 0.323 0.976
Au: 0.646 0.898 0.146
Au: 0.677 0.436 0.524
Au: 0.757 0.017 0.687
Au: 0.898 0.646 0.646
Au: 0.983 0.243 0.813

Summary:
Energy relative to the elements (eV per atom): -0.74
Symmetry: C2/c (15)
Magnetization (μB per atom): 0.0000
Calculated total energy (eV/cell): -80.4

---

Material: PmHoAu4
Method: DFT, PBE
State: relaxed

a = 3.786 Å, b = 3.786 Å, c = 9.155 Å
α = 90.00°, β = 90.00°, γ = 90.00°
Element x y z (fractional)
Pm: 0.000 0.000 0.000
Ho: 0.500 0.500 0.500
Au: 0.000 0.000 0.340
Au: 0.000 0.000 0.660
Au: 0.500 0.500 0.171
Au: 0.500 0.500 0.829

Summary:
Energy relative to the elements (eV per atom): -0.83
Symmetry: P4/mmm (123)
Magnetization (μB per atom): 0.0000
Calculated total energy (eV/cell): -27.4

---

Material: Pm3HoAu4
Method: DFT, PBE
State: relaxed

a = 8.889 Å, b = 8.889 Å, c = 8.889 Å
α = 154.54°, β = 133.16°, γ = 54.06°
Element x y z (fractional)
Pm: 0.000 0.000 0.000
Pm: 0.296 0.796 0.500
Pm: 0.704 0.204 0.500
Ho: 0.500 0.500 0.000
Au: 0.078 0.372 0.706
Au: 0.333 0.628 0.706
Au: 0.667 0.372 0.294
Au: 0.922 0.628 0.294

Summary:
Energy relative to the elements (eV per atom): -0.65
Symmetry: Immm (71)
Magnetization (μB per atom): 0.0000
Distance to the lowest polymorph of the same formula (eV per atom): 0.1521
Calculated total energy (eV/cell): -37.2

---

Material: Pm3HoAu3
Method: DFT, PBE
State: relaxed

a = 7.289 Å, b = 7.289 Å, c = 7.326 Å
α = 91.01°, β = 91.01°, γ = 96.49°
Element x y z (fractional)
Pm: 0.178 0.822 0.000
Pm: 0.258 0.742 0.500
Pm: 0.349 0.349 0.125
Pm: 0.651 0.651 0.875
Pm: 0.742 0.258 0.500
Pm: 0.822 0.178 0.000
Ho: 0.255 0.255 0.623
Ho: 0.745 0.745 0.377
Au: 0.021 0.498 0.777
Au: 0.065 0.065 0.314
Au: 0.498 0.021 0.777
Au: 0.502 0.979 0.223
Au: 0.935 0.935 0.686
Au: 0.979 0.502 0.223

Summary:
Energy relative to the elements (eV per atom): -0.61
Symmetry: C2/m (12)
Magnetization (μB per atom): 0.0000
Calculated total energy (eV/cell): -65.9

---

Q: Which value of energy relative to the elements does entry 5 give?
A: -0.74 eV per atom

---

Q: What is the formula in the second record?
A: PmHoAu